[1]
Material: Sr6InNi2
Method: DFT, PBE-GGA
State: optimized geometry

Summary:
* crystal system: orthorhombic
* spin magnetization: 0.00 μB per atom
* formation energy: -0.90 eV per formula unit

a b c (Å): 9.386 9.386 9.386
angles (deg): 105.09 112.63 110.78
Fractional positions:
Sr: 0.799 0.029 0.230
Sr: 0.306 0.324 0.630
Sr: 0.112 0.818 0.293
Sr: 0.888 0.182 0.707
Sr: 0.201 0.431 0.230
Sr: 0.525 0.818 0.707
Sr: 0.201 0.971 0.770
Sr: 0.799 0.569 0.770
Sr: 0.475 0.182 0.293
Sr: 0.306 0.676 0.982
Sr: 0.694 0.324 0.018
Sr: 0.694 0.676 0.370
In: 0.000 0.000 0.000
In: 0.000 0.500 0.500
Ni: 0.389 0.389 0.000
Ni: 0.611 0.611 0.000
Ni: 0.500 0.897 0.397
Ni: 0.500 0.103 0.603

---

[2]
Material: SrIn2Ni
Method: DFT, PBE-GGA
State: optimized geometry

Summary:
* crystal system: orthorhombic
* spin magnetization: 0.00 μB per atom
* formation energy: 0.80 eV per formula unit

a b c (Å): 5.725 5.725 3.427
angles (deg): 90.00 90.00 116.05
Fractional positions:
In: 0.500 0.500 0.000
In: 0.000 0.000 0.000
Sr: 0.000 0.500 0.500
Ni: 0.500 0.000 0.500

---

[3]
Material: Sr2InNi2
Method: DFT, PBE-GGA
State: optimized geometry

Summary:
* crystal system: tetragonal
* spin magnetization: 0.07 μB per atom
* formation energy: 0.19 eV per formula unit

a b c (Å): 3.512 3.512 10.386
angles (deg): 80.27 80.27 90.00
Last column: magnetic moment on the atom in μB.
Fractional positions:
Ni: 0.750 0.250 0.500  0.20
Ni: 0.250 0.750 0.500  0.20
Sr: 0.626 0.626 0.747  -0.01
Sr: 0.374 0.374 0.253  -0.01
In: 0.000 0.000 0.000  0.00

---

[4]
Material: SrInNi2
Method: DFT, PBE-GGA
State: optimized geometry

Summary:
* crystal system: tetragonal
* spin magnetization: 0.00 μB per atom
* formation energy: 0.38 eV per formula unit

a b c (Å): 4.793 4.793 9.360
angles (deg): 75.17 75.17 90.00
Fractional positions:
In: 0.750 0.250 0.500
In: 0.000 0.000 0.000
Sr: 0.250 0.750 0.500
Sr: 0.500 0.500 0.000
Ni: 0.375 0.157 0.750
Ni: 0.875 0.093 0.750
Ni: 0.907 0.625 0.250
Ni: 0.843 0.125 0.250

---

[5]
Material: SrInNi2
Method: DFT, PBE-GGA
State: optimized geometry

Summary:
* crystal system: tetragonal
* spin magnetization: 0.13 μB per atom
* formation energy: 0.27 eV per formula unit

a b c (Å): 3.299 3.299 7.293
angles (deg): 90.00 90.00 90.00
Last column: magnetic moment on the atom in μB.
Fractional positions:
In: 0.500 0.500 0.821  0.00
Ni: 0.500 0.500 0.173  0.35
Ni: 0.000 0.000 0.047  0.23
Sr: 0.000 0.000 0.459  -0.01

---

[6]
Material: SrIn4Ni4
Method: DFT, PBE-GGA
State: optimized geometry

Summary:
* crystal system: tetragonal
* spin magnetization: 0.00 μB per atom
* formation energy: -0.58 eV per formula unit

a b c (Å): 5.087 8.706 8.706
angles (deg): 90.00 90.00 90.00
Fractional positions:
Ni: 0.105 0.167 0.323
Ni: 0.895 0.323 0.833
Ni: 0.105 0.833 0.677
Ni: 0.895 0.677 0.167
Ni: 0.605 0.177 0.667
Ni: 0.395 0.667 0.823
Ni: 0.605 0.823 0.333
Ni: 0.395 0.333 0.177
In: 0.896 0.377 0.143
In: 0.104 0.857 0.377
In: 0.604 0.877 0.643
In: 0.396 0.643 0.123
In: 0.396 0.357 0.877
In: 0.896 0.623 0.857
In: 0.104 0.143 0.623
In: 0.604 0.123 0.357
Sr: 0.000 0.000 0.000
Sr: 0.500 0.500 0.500